Computed, not measured: Li2CdTcO4 after structural relaxation at the PBE-GGA level of DFT.

```
data_Li2CdTcO4
_chemical_formula_sum 'Li8 Cd4 Tc4 O16'
_cell_length_a 5.753
_cell_length_b 6.116
_cell_length_c 10.102
_cell_angle_alpha 90.00
_cell_angle_beta 90.00
_cell_angle_gamma 90.00
_space_group_name_H-M_alt 'I m m 2'
_space_group_IT_number 44
_space_group_name_Hall 'I 2 -2'
loop_
_atom_site_label
_atom_site_type_symbol
_atom_site_fract_x
_atom_site_fract_y
_atom_site_fract_z
Li1 Li 0.000 0.244 0.000
Li2 Li 0.247 0.500 0.215
Cd1 Cd 0.000 0.252 0.458
Tc1 Tc 0.212 0.500 0.726
O1 O 0.000 0.233 0.224
O2 O 0.000 0.235 0.721
O3 O 0.222 0.500 0.927
O4 O 0.241 0.000 0.030
```

- Uncorrected formation energy: -142 kJ per mole of atoms
- E: -5.84 eV per atom